TmScAl6 (PBE-GGA, optimized geometry); SG = P-6m2; magnetic moment = 0.0 Bohr magnetons per cell; DFT formation energy = -0.396 eV per atom; excess energy over the best structure of this formula in the dataset = 0 kJ/mol of formula units; total DFT energy (no corrections) = -4.554 eV per atom
1.0
4.735 0.000 0.000
0.000 5.257 -2.809
0.000 -0.191 5.957
Tm Sc Al
1 1 6
direct
0.500 0.416 0.584
0.000 0.083 0.917
0.000 0.057 0.403
0.000 0.597 0.943
0.000 0.596 0.404
0.500 0.435 0.093
0.500 0.907 0.565
0.500 0.907 0.093

---

Sc2InBr (PBE-GGA, optimized geometry); SG = P4mm; magnetic moment = 0.0 Bohr magnetons per cell; excess energy over the best structure of this formula in the dataset = 4 kJ/mol of formula units; total DFT energy (no corrections) = -4.868 eV per atom
1.0
5.268 0.000 0.000
0.000 3.502 0.002
0.000 -0.002 5.267
Br In Sc
1 1 2
direct
0.000 0.252 0.375
0.500 0.750 0.875
0.000 0.249 0.875
0.500 0.249 0.375

---

Bi2AsPb2 (PBE-GGA, optimized geometry); SG = P4/mbm; magnetic moment = 0.0 Bohr magnetons per cell; DFT formation energy = 0.288 eV per atom; excess energy over the best structure of this formula in the dataset = 37 kJ/mol of formula units; total DFT energy (no corrections) = -3.677 eV per atom
1.0
8.046 0.000 0.000
0.000 8.046 0.000
0.000 0.000 5.037
Pb As Bi
4 2 4
direct
0.330 0.830 0.000
0.830 0.670 0.000
0.670 0.170 0.000
0.170 0.330 0.000
0.000 0.000 0.000
0.500 0.500 0.000
0.133 0.633 0.500
0.633 0.867 0.500
0.867 0.367 0.500
0.367 0.133 0.500